No. 1
Density functional theory data (GGA-PBE) for an optimized crystal structure of Sr2SbBr.

Unit cell a=4.739 b=6.484 c=4.736 alpha=90.00 beta=90.00 gamma=90.00
Atoms (fractional coordinates):
Sr 0.000 0.000 0.000
Sr 0.500 0.500 0.499
Sb 0.000 0.500 0.999
Br 0.500 0.000 0.499

Calculated values
* formation energy from raw total energies: -1.4274 eV/atom
* density of states at the Fermi level: 0.2 states/eV per cell
* mass density: 4.3 g cm⁻³
* E_tot: -14.9 eV/cell



No. 2
Density functional theory data (GGA-PBE) for an optimized crystal structure of SrSb2Br.

Unit cell a=6.117 b=6.117 c=6.117 alpha=138.24 beta=114.48 gamma=80.78
Atoms (fractional coordinates):
Sr 0.000 0.000 0.000
Sb 0.499 0.499 0.000
Sb 0.696 0.196 0.500
Br 0.225 0.725 0.500

Calculated values
* relative energy among the computed polymorphs: 0.59 eV per formula unit
* formation energy from raw total energies: -0.7448 eV/atom
* density of states at the Fermi level: 0.9 states/eV per cell
* mass density: 5.1 g cm⁻³
* E_tot: -14.6 eV/cell



No. 3
Density functional theory data (GGA-PBE) for an optimized crystal structure of SrSbBr2.

Unit cell a=5.104 b=5.104 c=4.559 alpha=90.00 beta=90.00 gamma=90.00
Atoms (fractional coordinates):
Sr 0.000 0.000 0.000
Sb 0.500 0.500 0.000
Br 0.000 0.500 0.500
Br 0.500 0.000 0.500

Calculated values
* relative energy among the computed polymorphs: 0.95 eV per formula unit
* formation energy from raw total energies: -0.8367 eV/atom
* density of states at the Fermi level: 3.4 states/eV per cell
* mass density: 5.2 g cm⁻³
* E_tot: -12.5 eV/cell



No. 4
Density functional theory data (GGA-PBE) for an optimized crystal structure of SrSbBr2.

Unit cell a=5.696 b=5.696 c=5.696 alpha=60.00 beta=60.00 gamma=60.00
Atoms (fractional coordinates):
Sr 0.000 0.000 0.000
Sb 0.750 0.750 0.750
Br 0.250 0.250 0.250
Br 0.500 0.500 0.500

Calculated values
* relative energy among the computed polymorphs: 1.92 eV per formula unit
* formation energy from raw total energies: -0.5963 eV/atom
* density of states at the Fermi level: 3.1 states/eV per cell
* mass density: 4.7 g cm⁻³
* E_tot: -11.5 eV/cell



No. 5
Density functional theory data (GGA-PBE) for an optimized crystal structure of SrSb3Br.

Unit cell a=6.095 b=6.095 c=6.095 alpha=90.00 beta=90.00 gamma=90.00
Atoms (fractional coordinates):
Sr 0.000 0.000 0.000
Sb 0.000 0.000 0.500
Sb 0.000 0.500 0.000
Sb 0.500 0.000 0.000
Br 0.500 0.500 0.500

Calculated values
* relative energy among the computed polymorphs: 2.63 eV per formula unit
* formation energy from raw total energies: 0.7348 eV/atom
* density of states at the Fermi level: 6.5 states/eV per cell
* mass density: 3.9 g cm⁻³
* E_tot: -12.0 eV/cell



No. 6
Density functional theory data (GGA-PBE) for an optimized crystal structure of Sr2SbBr.

Unit cell a=5.130 b=6.646 c=6.646 alpha=38.22 beta=90.00 gamma=90.00
Atoms (fractional coordinates):
Sr 0.000 0.000 0.000
Sr 0.500 0.247 0.247
Sb 0.000 0.726 0.726
Br 0.500 0.487 0.487

Calculated values
* formation energy from raw total energies: -1.3325 eV/atom
* density of states at the Fermi level: 0.4 states/eV per cell
* mass density: 4.5 g cm⁻³
* E_tot: -14.5 eV/cell



No. 7
Density functional theory data (GGA-PBE) for an optimized crystal structure of SrSb2TeBr.

Unit cell a=6.199 b=6.199 c=5.959 alpha=90.00 beta=90.00 gamma=90.00
Atoms (fractional coordinates):
Sr 0.000 0.000 0.000
Sb 0.000 0.500 0.000
Sb 0.500 0.000 0.000
Te 0.000 0.000 0.500
Br 0.500 0.500 0.500

Calculated values
* relative energy among the computed polymorphs: 2.21 eV per formula unit
* formation energy from raw total energies: 0.5414 eV/atom
* density of states at the Fermi level: 7.5 states/eV per cell
* mass density: 3.9 g cm⁻³
* E_tot: -12.0 eV/cell



No. 8
Density functional theory data (GGA-PBE) for an optimized crystal structure of SrSb2TeBr.

Unit cell a=5.524 b=5.524 c=5.882 alpha=90.00 beta=90.00 gamma=90.00
Atoms (fractional coordinates):
Sr 0.000 0.000 0.000
Sb 0.000 0.500 0.500
Sb 0.500 0.000 0.500
Te 0.500 0.500 0.000
Br 0.500 0.500 0.500

Calculated values
* relative energy among the computed polymorphs: 0.00 eV per formula unit
* formation energy from raw total energies: 0.0996 eV/atom
* density of states at the Fermi level: 4.3 states/eV per cell
* mass density: 5.0 g cm⁻³
* E_tot: -14.2 eV/cell



No. 9
Density functional theory data (GGA-PBE) for an optimized crystal structure of SrSbTe2Br.

Unit cell a=5.812 b=5.812 c=5.415 alpha=90.00 beta=90.00 gamma=90.00
Atoms (fractional coordinates):
Sr 0.000 0.000 0.000
Sb 0.500 0.500 0.000
Te 0.000 0.500 0.500
Te 0.500 0.000 0.500
Br 0.500 0.500 0.500

Calculated values
* relative energy among the computed polymorphs: 0.00 eV per formula unit
* formation energy from raw total energies: 0.0066 eV/atom
* density of states at the Fermi level: 8.3 states/eV per cell
* mass density: 4.9 g cm⁻³
* E_tot: -13.7 eV/cell



No. 10
Density functional theory data (GGA-PBE) for an optimized crystal structure of SrSbTe2Br.

Unit cell a=6.045 b=6.045 c=6.365 alpha=90.00 beta=90.00 gamma=90.00
Atoms (fractional coordinates):
Sr 0.000 0.000 0.000
Sb 0.000 0.000 0.500
Te 0.000 0.500 0.000
Te 0.500 0.000 0.000
Br 0.500 0.500 0.500

Calculated values
* relative energy among the computed polymorphs: 1.88 eV per formula unit
* formation energy from raw total energies: 0.3825 eV/atom
* density of states at the Fermi level: 8.3 states/eV per cell
* mass density: 3.9 g cm⁻³
* E_tot: -11.8 eV/cell



No. 11
Density functional theory data (GGA-PBE) for an optimized crystal structure of Sr4SbTeBr2.

Unit cell a=7.901 b=4.764 c=8.234 alpha=90.00 beta=110.29 gamma=90.00
Atoms (fractional coordinates):
Sr 0.236 0.000 0.239
Sr 0.240 0.500 0.753
Sr 0.760 0.500 0.247
Sr 0.764 0.000 0.761
Sb 0.000 0.500 0.000
Te 0.000 0.000 0.500
Br 0.500 0.000 0.000
Br 0.500 0.500 0.500

Calculated values
* formation energy from raw total energies: -1.5137 eV/atom
* density of states at the Fermi level: 3.9 states/eV per cell
* mass density: 4.3 g cm⁻³
* E_tot: -29.4 eV/cell



No. 12
Density functional theory data (GGA-PBE) for an optimized crystal structure of Sr4SbTe2Br.

Unit cell a=8.240 b=8.237 c=6.653 alpha=66.21 beta=66.16 gamma=47.63
Atoms (fractional coordinates):
Sr 0.000 0.000 0.500
Sr 0.238 0.238 0.762
Sr 0.500 0.500 0.000
Sr 0.762 0.762 0.238
Sb 0.000 0.000 0.000
Te 0.250 0.250 0.250
Te 0.750 0.750 0.750
Br 0.500 0.500 0.500

Calculated values
* formation energy from raw total energies: -1.6084 eV/atom
* mass density: 4.5 g cm⁻³
* E_tot: -31.7 eV/cell



No. 13
Density functional theory data (GGA-PBE) for an optimized crystal structure of SrTl2SbBr6.

Unit cell a=7.474 b=8.133 c=8.626 alpha=116.82 beta=115.17 gamma=90.01
Atoms (fractional coordinates):
Sr 0.000 0.000 0.000
Tl 0.224 0.620 0.455
Tl 0.713 0.109 0.446
Sb 0.501 0.503 0.009
Br 0.112 0.230 0.434
Br 0.261 0.747 0.135
Br 0.399 0.275 0.140
Br 0.607 0.773 0.916
Br 0.788 0.305 0.923
Br 0.885 0.800 0.569

Calculated values
* formation energy from raw total energies: -1.0382 eV/atom
* mass density: 4.4 g cm⁻³
* E_tot: -31.0 eV/cell



No. 14
Density functional theory data (GGA-PBE) for an optimized crystal structure of SrVSbBr2.

Unit cell a=5.693 b=5.693 c=6.531 alpha=90.00 beta=90.00 gamma=90.00
Atoms (fractional coordinates):
Sr 0.000 0.000 0.000
V 0.500 0.500 0.000
Sb 0.000 0.000 0.500
Br 0.000 0.500 0.500
Br 0.500 0.000 0.500

Calculated values
* formation energy from raw total energies: 0.4486 eV/atom
* density of states at the Fermi level: 13.4 states/eV per cell
* mass density: 3.3 g cm⁻³
* E_tot: -16.0 eV/cell



No. 15
Density functional theory data (GGA-PBE) for an optimized crystal structure of SrZnSbBr.

Unit cell a=14.828 b=14.828 c=14.828 alpha=17.73 beta=17.73 gamma=17.73
Atoms (fractional coordinates):
Sr 0.089 0.089 0.089
Sr 0.911 0.911 0.911
Zn 0.310 0.310 0.310
Zn 0.690 0.690 0.690
Sb 0.374 0.374 0.374
Sb 0.626 0.626 0.626
Br 0.208 0.208 0.208
Br 0.792 0.792 0.792

Calculated values
* formation energy from raw total energies: -1.0869 eV/atom
* density of states at the Fermi level: 0.7 states/eV per cell
* mass density: 4.5 g cm⁻³
* E_tot: -26.2 eV/cell



No. 16
Density functional theory data (GGA-PBE) for an optimized crystal structure of TaSbBr.

Unit cell a=3.248 b=3.248 c=8.188 alpha=101.36 beta=101.36 gamma=65.64
Atoms (fractional coordinates):
Ta 0.000 0.000 0.000
Sb 0.253 0.253 0.724
Br 0.425 0.425 0.232

Calculated values
* relative energy among the computed polymorphs: 0.12 eV per formula unit
* formation energy from raw total energies: -0.1760 eV/atom
* density of states at the Fermi level: 1.2 states/eV per cell
* mass density: 8.3 g cm⁻³
* E_tot: -18.2 eV/cell



No. 17
Density functional theory data (GGA-PBE) for an optimized crystal structure of Ta2SbBr.

Unit cell a=3.474 b=3.474 c=7.038 alpha=90.00 beta=90.00 gamma=90.00
Atoms (fractional coordinates):
Ta 0.000 0.000 0.199
Ta 0.000 0.000 0.801
Sb 0.500 0.500 0.000
Br 0.500 0.500 0.500

Calculated values
* relative energy among the computed polymorphs: 2.18 eV per formula unit
* formation energy from raw total energies: 0.4618 eV/atom
* density of states at the Fermi level: 3.4 states/eV per cell
* mass density: 11.0 g cm⁻³
* E_tot: -27.7 eV/cell



No. 18
Density functional theory data (GGA-PBE) for an optimized crystal structure of TaSbBr.

Unit cell a=4.785 b=4.785 c=4.785 alpha=60.00 beta=60.00 gamma=60.00
Atoms (fractional coordinates):
Ta 0.000 0.000 0.000
Sb 0.250 0.250 0.250
Br 0.750 0.750 0.750

Calculated values
* relative energy among the computed polymorphs: 1.91 eV per formula unit
* formation energy from raw total energies: 0.4193 eV/atom
* density of states at the Fermi level: 4.0 states/eV per cell
* mass density: 8.2 g cm⁻³
* E_tot: -16.4 eV/cell



No. 19
Density functional theory data (GGA-PBE) for an optimized crystal structure of Ta2SbBr.

Unit cell a=4.775 b=4.775 c=4.775 alpha=60.00 beta=60.00 gamma=60.00
Atoms (fractional coordinates):
Ta 0.250 0.250 0.250
Ta 0.750 0.750 0.750
Sb 0.000 0.000 0.000
Br 0.500 0.500 0.500

Calculated values
* relative energy among the computed polymorphs: 2.36 eV per formula unit
* formation energy from raw total energies: 0.5060 eV/atom
* density of states at the Fermi level: 4.3 states/eV per cell
* mass density: 12.2 g cm⁻³
* E_tot: -27.5 eV/cell



No. 20
Density functional theory data (GGA-PBE) for an optimized crystal structure of Ta2SbBr.

Unit cell a=9.336 b=9.336 c=9.336 alpha=151.53 beta=151.53 gamma=40.70
Atoms (fractional coordinates):
Ta 0.080 0.625 0.955
Ta 0.375 0.330 0.455
Ta 0.670 0.125 0.045
Ta 0.875 0.920 0.545
Sb 0.250 0.750 0.500
Sb 0.500 0.500 0.000
Br 0.000 0.000 0.000
Br 0.750 0.250 0.500

Calculated values
* relative energy among the computed polymorphs: 3.51 eV per formula unit
* formation energy from raw total energies: 0.7946 eV/atom
* density of states at the Fermi level: 9.0 states/eV per cell
* mass density: 10.1 g cm⁻³
* E_tot: -52.6 eV/cell